Compound: NdDy6Y12
Source: Alexandria via LeMat-Bulk
Functional: PBE
Structure: relaxed

Results
DOS at the Fermi energy: 32.90 states/eV/f.u.
Total DFT energy (no corrections): -107.09 eV per cell
Space-group type: No. 148
E above lowest polymorph: 0.129 eV/atom

Lattice parameters (Å, degrees): 8.564 8.564 8.564 88.10 88.10 88.10
Atoms (fractional coordinates):
Nd: 0.000 0.000 0.000
Dy: 0.744 0.908 0.310
Dy: 0.690 0.256 0.092
Dy: 0.092 0.690 0.256
Dy: 0.256 0.092 0.690
Dy: 0.310 0.744 0.908
Dy: 0.908 0.310 0.744
Y: 0.775 0.544 0.436
Y: 0.436 0.775 0.544
Y: 0.544 0.436 0.775
Y: 0.225 0.456 0.564
Y: 0.564 0.225 0.456
Y: 0.456 0.564 0.225
Y: 0.009 0.206 0.357
Y: 0.794 0.643 0.991
Y: 0.643 0.991 0.794
Y: 0.991 0.794 0.643
Y: 0.206 0.357 0.009
Y: 0.357 0.009 0.206

***

Compound: Nd12Dy2Y
Source: Alexandria via LeMat-Bulk
Functional: PBE
Structure: relaxed

Results
DOS at the Fermi energy: 22.50 states/eV/f.u.
Total DFT energy (no corrections): -141.12 eV per cell
Space-group type: No. 67

Lattice parameters (Å, degrees): 6.856 6.856 25.077 90.00 90.00 63.51
Atoms (fractional coordinates):
Nd: 0.500 0.500 0.801
Nd: 0.000 0.000 0.801
Nd: 0.752 0.748 0.870
Nd: 0.252 0.752 0.926
Nd: 0.000 0.000 0.325
Nd: 0.248 0.748 0.074
Nd: 0.774 0.274 0.560
Nd: 0.500 0.500 0.325
Nd: 0.248 0.252 0.870
Nd: 0.748 0.752 0.130
Nd: 0.269 0.231 0.585
Nd: 0.726 0.226 0.440
Nd: 0.000 0.000 0.675
Nd: 0.231 0.269 0.415
Nd: 0.252 0.248 0.130
Nd: 0.769 0.731 0.415
Nd: 0.731 0.769 0.585
Nd: 0.000 0.000 0.199
Nd: 0.226 0.726 0.560
Nd: 0.500 0.500 0.675
Nd: 0.748 0.248 0.926
Nd: 0.500 0.500 0.199
Nd: 0.274 0.774 0.440
Nd: 0.752 0.252 0.074
Dy: 0.500 0.000 0.271
Dy: 0.000 0.500 0.267
Dy: 0.000 0.500 0.729
Dy: 0.500 0.000 0.733
Y: 0.500 0.000 0.001
Y: 0.000 0.500 0.999

***

Compound: Nd5Dy2Y3
Source: Alexandria via LeMat-Bulk
Functional: PBE
Structure: relaxed

Results
DOS at the Fermi energy: 17.86 states/eV/f.u.
Total DFT energy (no corrections): -101.28 eV per cell
Space-group type: No. 15
E above lowest polymorph: 0.000 eV/atom

Lattice parameters (Å, degrees): 10.147 10.125 9.163 108.21 108.31 115.68
Atoms (fractional coordinates):
Nd: 0.227 0.477 0.955
Nd: 0.773 0.523 0.045
Nd: 0.985 0.735 0.469
Nd: 0.477 0.227 0.454
Nd: 0.015 0.265 0.531
Nd: 0.523 0.773 0.546
Nd: 0.870 0.634 0.756
Nd: 0.130 0.366 0.244
Nd: 0.386 0.122 0.756
Nd: 0.614 0.878 0.244
Dy: 0.975 0.035 0.752
Dy: 0.025 0.965 0.248
Dy: 0.277 0.718 0.752
Dy: 0.723 0.282 0.248
Y: 0.270 0.020 0.040
Y: 0.730 0.980 0.960
Y: 0.532 0.476 0.251
Y: 0.468 0.524 0.749
Y: 0.219 0.775 0.251
Y: 0.781 0.225 0.749

***

Compound: Nd12DyY7
Source: Alexandria via LeMat-Bulk
Functional: PBE
Structure: relaxed

Results
DOS at the Fermi energy: 40.12 states/eV/f.u.
Total DFT energy (no corrections): -102.79 eV per cell
Space-group type: No. 148
E above lowest polymorph: 0.000 eV/atom

Lattice parameters (Å, degrees): 8.856 8.856 8.856 88.51 88.51 88.51
Atoms (fractional coordinates):
Nd: 0.854 0.261 0.727
Nd: 0.739 0.273 0.146
Nd: 0.614 0.140 0.490
Nd: 0.860 0.510 0.386
Nd: 0.273 0.146 0.739
Nd: 0.510 0.386 0.860
Nd: 0.490 0.614 0.140
Nd: 0.727 0.854 0.261
Nd: 0.140 0.490 0.614
Nd: 0.386 0.860 0.510
Nd: 0.261 0.727 0.854
Nd: 0.146 0.739 0.273
Dy: 0.000 0.000 0.000
Y: 0.851 0.613 0.934
Y: 0.387 0.066 0.149
Y: 0.066 0.149 0.387
Y: 0.500 0.500 0.500
Y: 0.934 0.851 0.613
Y: 0.613 0.934 0.851
Y: 0.149 0.387 0.066

***

Compound: Nd5Dy2Y4
Source: Alexandria via LeMat-Bulk
Functional: PBE
Structure: relaxed

Results
DOS at the Fermi energy: 15.97 states/eV/f.u.
Total DFT energy (no corrections): -58.72 eV per cell
Space-group type: No. 12
E above lowest polymorph: 0.000 eV/atom

Lattice parameters (Å, degrees): 3.616 8.851 12.017 104.18 98.65 90.00
Atoms (fractional coordinates):
Nd: 0.136 0.091 0.271
Nd: 0.864 0.909 0.729
Nd: 0.226 0.815 0.453
Nd: 0.500 0.000 0.000
Nd: 0.774 0.185 0.547
Dy: 0.590 0.723 0.181
Dy: 0.410 0.277 0.819
Y: 0.681 0.455 0.362
Y: 0.045 0.366 0.090
Y: 0.319 0.545 0.638
Y: 0.955 0.634 0.910

***

Compound: Nd5Dy6Y
Source: Alexandria via LeMat-Bulk
Functional: PBE
Structure: relaxed

Results
DOS at the Fermi energy: 16.15 states/eV/f.u.
Total DFT energy (no corrections): -57.71 eV per cell
Space-group type: No. 71
E above lowest polymorph: 0.004 eV/atom

Lattice parameters (Å, degrees): 5.108 10.147 9.536 122.14 105.54 90.00
Atoms (fractional coordinates):
Y: 0.000 0.000 0.000
Nd: 0.666 0.166 0.332
Nd: 0.333 0.333 0.666
Nd: 0.000 0.500 0.000
Nd: 0.667 0.667 0.334
Nd: 0.334 0.834 0.668
Dy: 0.834 0.584 0.667
Dy: 0.834 0.083 0.667
Dy: 0.500 0.751 0.000
Dy: 0.500 0.249 0.000
Dy: 0.166 0.917 0.333
Dy: 0.166 0.416 0.333

***

Compound: Nd5Dy4Y3
Source: Alexandria via LeMat-Bulk
Functional: PBE
Structure: relaxed

Results
DOS at the Fermi energy: 16.24 states/eV/f.u.
Total DFT energy (no corrections): -58.95 eV per cell
Space-group type: No. 12

Lattice parameters (Å, degrees): 5.477 6.407 19.262 127.03 81.83 64.70
Each line ends with the local moment (μB).
Atoms (fractional coordinates):
Nd: 0.359 0.048 0.235  0.00
Nd: 0.500 0.500 0.500  0.15
Nd: 0.292 0.382 0.035  0.00
Nd: 0.708 0.618 0.965  0.00
Nd: 0.641 0.952 0.765  0.00
Dy: 0.168 0.792 0.872  0.00
Dy: 0.017 0.247 0.719  0.00
Dy: 0.983 0.753 0.281  0.00
Dy: 0.832 0.208 0.128  0.00
Y: 0.557 0.281 0.605  0.00
Y: 0.000 0.500 0.500  0.15
Y: 0.443 0.719 0.395  0.00

***

Compound: Nd6Dy8Y
Source: Alexandria via LeMat-Bulk
Functional: PBE
Structure: relaxed

Results
DOS at the Fermi energy: 21.75 states/eV/f.u.
Total DFT energy (no corrections): -70.08 eV per cell
Space-group type: No. 148
E above lowest polymorph: 0.000 eV/atom

Lattice parameters (Å, degrees): 9.142 9.142 8.746 58.49 58.49 60.00
Atoms (fractional coordinates):
Nd: 0.462 0.897 0.869
Nd: 0.103 0.229 0.131
Nd: 0.229 0.538 0.131
Nd: 0.771 0.462 0.869
Nd: 0.897 0.771 0.869
Nd: 0.538 0.103 0.131
Dy: 0.252 0.282 0.578
Dy: 0.718 0.112 0.422
Dy: 0.112 0.748 0.422
Dy: 0.577 0.577 0.269
Dy: 0.423 0.423 0.731
Dy: 0.888 0.252 0.578
Dy: 0.282 0.888 0.578
Dy: 0.748 0.718 0.422
Y: 0.000 0.000 0.000

***

Compound: Nd3DyY4
Source: Alexandria via LeMat-Bulk
Functional: PBE
Structure: relaxed

Results
DOS at the Fermi energy: 14.93 states/eV/f.u.
Total DFT energy (no corrections): -89.25 eV per cell
Space-group type: No. 31
E above lowest polymorph: 0.000 eV/atom

Lattice parameters (Å, degrees): 6.350 7.359 11.530 90.00 90.00 90.00
Atoms (fractional coordinates):
Nd: 0.649 0.626 0.000
Nd: 0.980 0.625 0.250
Nd: 0.480 0.375 0.250
Nd: 0.149 0.374 0.500
Nd: 0.480 0.375 0.750
Nd: 0.980 0.625 0.750
Dy: 0.148 0.372 0.000
Dy: 0.648 0.628 0.500
Y: 0.146 0.876 0.000
Y: 0.647 0.124 0.000
Y: 0.983 0.123 0.249
Y: 0.483 0.877 0.251
Y: 0.147 0.876 0.500
Y: 0.646 0.124 0.500
Y: 0.483 0.877 0.749
Y: 0.983 0.123 0.751

***

Compound: Nd8DyY5
Source: Alexandria via LeMat-Bulk
Functional: PBE
Structure: relaxed

Results
DOS at the Fermi energy: 21.57 states/eV/f.u.
Total DFT energy (no corrections): -71.49 eV per cell
Space-group type: No. 82

Lattice parameters (Å, degrees): 8.617 8.617 8.617 111.08 106.30 111.08
Atoms (fractional coordinates):
Nd: 0.161 0.730 0.074
Nd: 0.926 0.088 0.656
Nd: 0.734 0.261 0.337
Nd: 0.663 0.397 0.924
Nd: 0.527 0.603 0.266
Nd: 0.568 0.912 0.839
Nd: 0.344 0.270 0.432
Nd: 0.076 0.739 0.473
Dy: 0.250 0.500 0.750
Y: 0.035 0.313 0.129
Y: 0.871 0.906 0.184
Y: 0.816 0.687 0.722
Y: 0.500 0.000 0.500
Y: 0.278 0.094 0.965

***

Compound: NdDyY2
Source: Alexandria via LeMat-Bulk
Functional: PBE
Structure: relaxed

Results
DOS at the Fermi energy: 8.28 states/eV/f.u.
Total DFT energy (no corrections): -21.81 eV per cell
Space-group type: No. 225
E above lowest polymorph: 0.106 eV/atom

Lattice parameters (Å, degrees): 5.726 5.726 5.726 60.00 60.00 60.00
Atoms (fractional coordinates):
Y: 0.250 0.250 0.250
Y: 0.750 0.750 0.750
Nd: 0.500 0.500 0.500
Dy: 0.000 0.000 0.000

***

Compound: Nd5Dy2Y6
Source: Alexandria via LeMat-Bulk
Functional: PBE
Structure: relaxed

Results
DOS at the Fermi energy: 16.65 states/eV/f.u.
Total DFT energy (no corrections): -141.26 eV per cell
Space-group type: No. 55

Lattice parameters (Å, degrees): 3.615 11.753 20.682 90.00 90.00 90.00
Atoms (fractional coordinates):
Nd: 0.500 0.300 0.451
Nd: 0.500 0.700 0.549
Nd: 0.500 0.800 0.049
Nd: 0.500 0.200 0.951
Nd: 0.500 0.584 0.272
Nd: 0.500 0.416 0.728
Nd: 0.500 0.084 0.228
Nd: 0.500 0.916 0.772
Nd: 0.500 0.500 0.000
Nd: 0.500 0.000 0.500
Dy: 0.000 0.330 0.290
Dy: 0.000 0.670 0.710
Dy: 0.000 0.830 0.210
Dy: 0.000 0.170 0.790
Y: 0.000 0.081 0.369
Y: 0.000 0.919 0.631
Y: 0.000 0.581 0.131
Y: 0.000 0.419 0.869
Y: 0.500 0.324 0.138
Y: 0.500 0.676 0.862
Y: 0.500 0.824 0.362
Y: 0.500 0.176 0.638
Y: 0.000 0.559 0.419
Y: 0.000 0.441 0.581
Y: 0.000 0.059 0.081
Y: 0.000 0.941 0.919